Entry from Alexandria: La6CoSi2I3 after structural relaxation (PBE-GGA).

## Properties
volume	32.5	A^3/atom
electronic total energy	-5.21	eV per atom
total magnetization	0.0	μB per cell
ΔE_f (raw)	-83.1	kJ per mole of atoms

Unit cell a=7.713 b=12.909 c=8.248 alpha=90.00 beta=108.27 gamma=90.00
Space group C2/m (No. 12)
One atom of each set of equivalent atoms:
La 0.213 0.152 0.186 (multiplicity 8)
La 0.236 0.500 0.208 (multiplicity 4)
Co 0.000 0.000 0.000 (multiplicity 2)
Si 0.000 0.334 0.000 (multiplicity 4)
I 0.000 0.176 0.500 (multiplicity 4)
I 0.000 0.500 0.500 (multiplicity 2)